DFT (PBE with a Hubbard U) results for ReWF3 after structural relaxation.

Cell: 4.298 4.298 4.298 Å, 90.00 90.00 90.00°
Element x y z (fractional)
1 Re 0.000 0.000 0.000
2 W 0.500 0.500 0.500
3 F 0.000 0.000 0.500
4 F 0.000 0.500 0.000
5 F 0.500 0.000 0.000

Properties
E above lowest polymorph: 0.0 kJ per mole of atoms
Calculated volume: 15.9 Å³/atom
Space-group type: No. 221